Material: MgTlCdPb
Method: DFT, GGA-PBE
State: optimized geometry

space group	P4mm
energy above the most stable polymorph in this dataset	0.000	eV per atom
total DFT energy (no corrections)	-2.166	eV/atom
E_form	-19.9	meV/atom

Unit cell a=3.4268 b=3.4268 c=9.1478 alpha=90.00 beta=90.00 gamma=90.00
Closest atoms and distances in Å follow each position.
Fractional positions:
Mg: 0.0000 0.0000 0.0000  4 Cd 3.07, 4 Pb 3.26, 4 Mg 3.43
Tl: 0.0000 0.0000 0.5374  4 Cd 3.37, 4 Tl 3.43, 4 Pb 3.66
Cd: 0.5000 0.5000 0.7938  4 Mg 3.07, 4 Tl 3.37, 4 Cd 3.43
Pb: 0.5000 0.5000 0.2378  4 Mg 3.26, 4 Pb 3.43